Below is LiAgPd2Au2 after structural relaxation, with properties calculated at the PBE-GGA level.

Results
As for the space group: No. 11.

a = 5.352 Å, b = 5.540 Å, c = 6.838 Å
α = 90.00°, β = 98.32°, γ = 90.00°
Element x y z (fractional)
Li1 0.224 0.250 0.164
Li2 0.776 0.750 0.836
Ag1 0.164 0.750 0.139
Ag2 0.836 0.250 0.861
Pd1 0.011 0.250 0.491
Pd2 0.488 0.750 0.495
Pd3 0.512 0.250 0.505
Pd4 0.989 0.750 0.509
Au1 0.312 0.001 0.813
Au2 0.312 0.499 0.813
Au3 0.688 0.501 0.187
Au4 0.688 0.999 0.187


Below is LiAg2Pd2Au5 after structural relaxation, with properties calculated at the PBE-GGA level.

Results
As for the space group: No. 127.

a = 9.172 Å, b = 9.172 Å, c = 4.408 Å
α = 90.00°, β = 90.00°, γ = 90.00°
Element x y z (fractional)
Li1 0.000 0.000 0.000
Li2 0.500 0.500 0.000
Ag1 0.176 0.324 0.000
Ag2 0.324 0.824 0.000
Ag3 0.676 0.176 0.000
Ag4 0.824 0.676 0.000
Pd1 0.119 0.619 0.000
Pd2 0.381 0.119 0.000
Pd3 0.619 0.881 0.000
Pd4 0.881 0.381 0.000
Au1 0.000 0.500 0.500
Au2 0.085 0.806 0.500
Au3 0.194 0.085 0.500
Au4 0.306 0.585 0.500
Au5 0.415 0.306 0.500
Au6 0.500 0.000 0.500
Au7 0.585 0.694 0.500
Au8 0.694 0.415 0.500
Au9 0.806 0.915 0.500
Au10 0.915 0.194 0.500


Below is Li2Ag2PdAu after structural relaxation, with properties calculated at the PBE-GGA level.

Results
As for the space group: No. 11.

a = 5.134 Å, b = 5.503 Å, c = 7.102 Å
α = 90.00°, β = 102.33°, γ = 90.00°
Element x y z (fractional)
Li1 0.119 0.250 0.354
Li2 0.260 0.750 0.009
Li3 0.740 0.250 0.991
Li4 0.881 0.750 0.646
Ag1 0.397 0.000 0.678
Ag2 0.397 0.500 0.678
Ag3 0.603 0.000 0.322
Ag4 0.603 0.500 0.322
Pd1 0.109 0.750 0.345
Pd2 0.891 0.250 0.655
Au1 0.244 0.250 0.006
Au2 0.756 0.750 0.994


Below is Li2Ag4PdAu after structural relaxation, with properties calculated at the PBE-GGA level.

Results
As for the space group: No. 10.

a = 4.464 Å, b = 4.488 Å, c = 6.726 Å
α = 90.00°, β = 90.06°, γ = 90.00°
Element x y z (fractional)
Li1 0.000 0.000 0.000
Li2 0.500 0.500 0.500
Ag1 0.000 0.500 0.244
Ag2 0.000 0.500 0.756
Ag3 0.500 0.000 0.243
Ag4 0.500 0.000 0.757
Pd1 0.500 0.500 0.000
Au1 0.000 0.000 0.500


Below is LiAgPd2Au after structural relaxation, with properties calculated at the PBE-GGA level.

Results
As for the space group: No. 63.

a = 5.237 Å, b = 5.237 Å, c = 7.960 Å
α = 90.00°, β = 90.00°, γ = 127.72°
Element x y z (fractional)
Li1 0.000 0.000 0.000
Li2 0.000 0.000 0.500
Ag1 0.454 0.546 0.750
Ag2 0.546 0.454 0.250
Pd1 0.288 0.712 0.074
Pd2 0.288 0.712 0.426
Pd3 0.712 0.288 0.574
Pd4 0.712 0.288 0.926
Au1 0.163 0.837 0.750
Au2 0.837 0.163 0.250


Below is Li2AgPd2Au4 after structural relaxation, with properties calculated at the PBE-GGA level.

Results
As for the space group: No. 139.

a = 5.924 Å, b = 5.924 Å, c = 5.924 Å
α = 113.41°, β = 113.41°, γ = 101.85°
Element x y z (fractional)
Li1 0.200 0.200 0.000
Li2 0.800 0.800 0.000
Ag1 0.500 0.500 0.000
Pd1 0.250 0.750 0.500
Pd2 0.750 0.250 0.500
Au1 0.219 0.219 0.437
Au2 0.219 0.781 0.000
Au3 0.781 0.219 0.000
Au4 0.781 0.781 0.563


Below is LiPmAg2Au4 after structural relaxation, with properties calculated at the PBE-GGA level.

Results
As for the space group: No. 166.

a = 8.416 Å, b = 8.416 Å, c = 8.416 Å
α = 32.89°, β = 32.89°, γ = 32.89°
Element x y z (fractional)
Li1 0.000 0.000 0.000
Pm1 0.500 0.500 0.500
Ag1 0.251 0.251 0.251
Ag2 0.749 0.749 0.749
Au1 0.111 0.111 0.111
Au2 0.371 0.371 0.371
Au3 0.629 0.629 0.629
Au4 0.889 0.889 0.889


Below is LiPm2AgAu2 after structural relaxation, with properties calculated at the PBE-GGA level.

Results
As for the space group: No. 15.

a = 8.841 Å, b = 8.841 Å, c = 5.981 Å
α = 109.67°, β = 109.67°, γ = 39.51°
Element x y z (fractional)
Li1 0.000 0.000 0.250
Li2 0.000 0.000 0.750
Pm1 0.113 0.554 0.834
Pm2 0.446 0.887 0.666
Pm3 0.554 0.113 0.334
Pm4 0.887 0.446 0.166
Ag1 0.499 0.501 0.750
Ag2 0.501 0.499 0.250
Au1 0.088 0.650 0.369
Au2 0.350 0.912 0.131
Au3 0.650 0.088 0.869
Au4 0.912 0.350 0.631


Below is Li2PmAgAu4 after structural relaxation, with properties calculated at the PBE-GGA level.

Results
As for the space group: No. 166.

a = 9.208 Å, b = 9.208 Å, c = 9.208 Å
α = 28.54°, β = 28.54°, γ = 28.54°
Element x y z (fractional)
Li1 0.231 0.231 0.231
Li2 0.769 0.769 0.769
Pm1 0.000 0.000 0.000
Ag1 0.500 0.500 0.500
Au1 0.119 0.119 0.119
Au2 0.394 0.394 0.394
Au3 0.606 0.606 0.606
Au4 0.881 0.881 0.881


Below is LiPrAgAu after structural relaxation, with properties calculated at the PBE-GGA level.

Results
As for the space group: No. 216.

a = 5.043 Å, b = 5.043 Å, c = 5.043 Å
α = 60.00°, β = 60.00°, γ = 60.00°
Element x y z (fractional)
Li1 0.000 0.000 0.000
Pr1 0.500 0.500 0.500
Ag1 0.750 0.750 0.750
Au1 0.250 0.250 0.250


Below is Li2PrAgAu2 after structural relaxation, with properties calculated at the PBE-GGA level.

Results
As for the space group: No. 164.

a = 4.526 Å, b = 4.526 Å, c = 6.774 Å
α = 90.00°, β = 90.00°, γ = 120.00°
Element x y z (fractional)
Li1 0.333 0.667 0.151
Li2 0.667 0.333 0.849
Pr1 0.000 0.000 0.500
Ag1 0.000 0.000 0.000
Au1 0.333 0.667 0.759
Au2 0.667 0.333 0.241


Below is LiPr2AgAu2 after structural relaxation, with properties calculated at the PBE-GGA level.

Results
As for the space group: No. 72.

a = 8.917 Å, b = 8.917 Å, c = 8.917 Å
α = 140.35°, β = 57.42°, γ = 140.22°
Element x y z (fractional)
Li1 0.250 0.250 0.000
Li2 0.750 0.750 0.000
Pr1 0.165 0.723 0.888
Pr2 0.335 0.223 0.558
Pr3 0.665 0.777 0.442
Pr4 0.835 0.277 0.112
Ag1 0.250 0.750 0.500
Ag2 0.750 0.250 0.500
Au1 0.129 0.221 0.350
Au2 0.371 0.721 0.092
Au3 0.629 0.279 0.908
Au4 0.871 0.779 0.650


The following formation energy values (in eV/atom) correspond, in order, to the records above: -0.165, -0.070, -0.272, -0.197, -0.155, 0.001, -0.418, -0.562, -0.496, -0.421, -0.527, -0.541.
The following total magnetization values (in μB/cell) correspond, in order, to the records above: 0.00, 0.00, 0.00, 0.00, 0.00, 0.00, 0.00, 0.00, 0.00, 0.00, 0.00, 0.00.
The following DFT total energy values (in eV per atom) correspond, in order, to the records above: -3.782, -3.509, -3.272, -3.160, -3.840, -3.352, -3.603, -4.032, -3.564, -3.626, -3.530, -4.021.